# 1
The following is a PBE calculation of a relaxed structure of Sr2SbBrCl, from Alexandria.

- Crystal system: tetragonal
- Density: 3.68 g cm⁻³
- Final energy: -2.98 eV per atom
- DOS(E_F): 2.71 states/eV/f.u.
- Space-group type: P4/mmm, No. 123

Structure (extended XYZ):
```
5
Lattice="6.013 0.000 0.000 0.000 6.013 0.000 0.000 0.000 5.142" Properties=species:S:1:pos:R:3 pbc="T T T"
Sr 0.000 3.006 0.000
Sr 3.006 0.000 0.000
Sb 0.000 0.000 2.571
Br 3.006 3.006 0.000
Cl 3.006 3.006 2.571
```

=====

# 2
The following is a PBE calculation of a relaxed structure of Cd2ReB, from Alexandria.

- Crystal system: tetragonal
- Density: 9.74 g cm⁻³
- Final energy: -4.23 eV per atom
- DOS(E_F): 2.91 states/eV/f.u.
- Space-group type: I-42d, No. 122

Structure (extended XYZ):
```
8
Lattice="-4.105 4.105 2.135 4.105 -4.105 2.135 4.105 4.105 -2.135" Properties=species:S:1:pos:R:3 pbc="T T T"
Cd 2.052 1.138 -0.534
Cd 2.967 -2.052 2.669
Cd 2.052 2.967 1.601
Cd 1.138 6.157 0.534
Re 4.105 0.000 1.067
Re 0.000 0.000 2.135
B 0.000 0.000 0.000
B 0.000 4.105 1.067
```

=====

# 3
The following is a PBE calculation of a relaxed structure of ScHg, from Alexandria.

- Crystal system: tetragonal
- Density: 8.47 g cm⁻³
- Final energy: -3.50 eV per atom
- DOS(E_F): 1.89 states/eV/f.u.
- Space-group type: P4_2/mnm, No. 136

Structure (extended XYZ):
```
8
Lattice="5.721 0.000 0.000 0.000 5.721 0.000 0.000 0.000 5.886" Properties=species:S:1:pos:R:3 pbc="T T T"
Sc 1.155 1.155 0.000
Sc 1.706 4.015 2.943
Sc 4.015 1.706 2.943
Sc 4.567 4.567 0.000
Hg 1.123 1.123 2.943
Hg 1.738 3.983 0.000
Hg 3.983 1.738 0.000
Hg 4.598 4.598 2.943
```